# Tb4Pr2Ho7 PBE optimized geometry
data_Tb4Pr2Ho7
_cell_length_a 6.0735
_cell_length_b 6.0735
_cell_length_c 13.3869
_cell_angle_alpha 90.00
_cell_angle_beta 90.00
_cell_angle_gamma 120.00
_symmetry_space_group_name_H-M 'P -3 1 m'
_symmetry_Int_Tables_number 162
_symmetry_space_group_name_Hall '-P 3 2'
loop_
_atom_site_label
_atom_site_type_symbol
_atom_site_fract_x
_atom_site_fract_y
_atom_site_fract_z
Tb1 Tb 0.0000 0.0000 0.1051
Tb2 Tb 0.3333 0.6667 0.0000
Pr1 Pr 0.3333 0.6667 0.5000
Ho1 Ho 0.0000 0.0000 0.5000
Ho2 Ho 0.0000 0.3514 0.2838
# Spin magnetization   0.00 μB/f.u.

---

# Tb4PrHo5 PBE optimized geometry
data_Tb4PrHo5
_cell_length_a 10.226
_cell_length_b 10.226
_cell_length_c 6.267
_cell_angle_alpha 90.00
_cell_angle_beta 90.00
_cell_angle_gamma 90.00
_symmetry_space_group_name_H-M 'I 4'
_symmetry_Int_Tables_number 79
_symmetry_space_group_name_Hall 'I 4'
loop_
_atom_site_label
_atom_site_type_symbol
_atom_site_fract_x
_atom_site_fract_y
_atom_site_fract_z
Tb1 Tb 0.050 0.650 0.000
Pr1 Pr 0.000 0.000 0.767
Ho1 Ho 0.000 0.000 0.226
Ho2 Ho 0.147 0.767 0.495
# Spin magnetization   0.00 μB/f.u.
# Excess energy over the best structure of this formula in the dataset   231.4 meV per atom

---

# Tb2Pr5Ho4 PBE optimized geometry
data_Tb2Pr5Ho4
_cell_length_a 17.812
_cell_length_b 3.568
_cell_length_c 11.694
_cell_angle_alpha 90.00
_cell_angle_beta 93.98
_cell_angle_gamma 90.00
_symmetry_space_group_name_H-M 'C 1 2/m 1'
_symmetry_Int_Tables_number 12
_symmetry_space_group_name_Hall '-C 2y'
loop_
_atom_site_label
_atom_site_type_symbol
_atom_site_fract_x
_atom_site_fract_y
_atom_site_fract_z
Tb1 Tb 0.216 0.000 0.353
Pr1 Pr 0.000 0.000 0.000
Pr2 Pr 0.097 0.500 0.536
Pr3 Pr 0.177 0.500 0.071
Ho1 Ho 0.035 0.500 0.260
Ho2 Ho 0.140 0.000 0.796
# Spin magnetization   0.00 μB/f.u.
# Excess energy over the best structure of this formula in the dataset   0.0 meV per atom

---

# TbPr7Ho4 PBE optimized geometry
data_TbPr7Ho4
_cell_length_a 16.267
_cell_length_b 6.050
_cell_length_c 9.502
_cell_angle_alpha 90.00
_cell_angle_beta 116.67
_cell_angle_gamma 90.00
_symmetry_space_group_name_H-M 'C 1 2/m 1'
_symmetry_Int_Tables_number 12
_symmetry_space_group_name_Hall '-C 2y'
loop_
_atom_site_label
_atom_site_type_symbol
_atom_site_fract_x
_atom_site_fract_y
_atom_site_fract_z
Tb1 Tb 0.000 0.000 0.000
Pr1 Pr 0.000 0.500 0.000
Pr2 Pr 0.086 0.000 0.449
Pr3 Pr 0.211 0.000 0.884
Pr4 Pr 0.213 0.000 0.239
Ho1 Ho 0.070 0.500 0.698
Ho2 Ho 0.170 0.500 0.382
# Spin magnetization   0.00 μB/f.u.
# Excess energy over the best structure of this formula in the dataset   202.9 meV per atom

---

# Tb4Pr4Ho3 PBE optimized geometry
data_Tb4Pr4Ho3
_cell_length_a 3.550
_cell_length_b 5.712
_cell_length_c 18.252
_cell_angle_alpha 99.00
_cell_angle_beta 95.58
_cell_angle_gamma 90.01
_symmetry_space_group_name_H-M 'P -1'
_symmetry_Int_Tables_number 2
_symmetry_space_group_name_Hall '-P 1'
loop_
_atom_site_label
_atom_site_type_symbol
_atom_site_fract_x
_atom_site_fract_y
_atom_site_fract_z
Tb1 Tb 0.045 0.046 0.090
Tb2 Tb 0.181 0.681 0.361
Pr1 Pr 0.090 0.591 0.181
Pr2 Pr 0.231 0.231 0.462
Ho1 Ho 0.365 0.864 0.729
Ho2 Ho 0.500 0.500 0.000
# Spin magnetization   0.00 μB/f.u.
# Excess energy over the best structure of this formula in the dataset   0.0 meV per atom

---

# Tb2Pr4Ho3 PBE optimized geometry
data_Tb2Pr4Ho3
_cell_length_a 3.6268
_cell_length_b 3.6268
_cell_length_c 26.9124
_cell_angle_alpha 90.00
_cell_angle_beta 90.00
_cell_angle_gamma 120.00
_symmetry_space_group_name_H-M 'P 3 m 1'
_symmetry_Int_Tables_number 156
_symmetry_space_group_name_Hall 'P 3 -2"'
loop_
_atom_site_label
_atom_site_type_symbol
_atom_site_fract_x
_atom_site_fract_y
_atom_site_fract_z
Tb1 Tb 0.0000 0.0000 0.0000
Tb2 Tb 0.0000 0.0000 0.2073
Pr1 Pr 0.0000 0.0000 0.3388
Pr2 Pr 0.0000 0.0000 0.5543
Pr3 Pr 0.3333 0.6667 0.6715
Pr4 Pr 0.3333 0.6667 0.8892
Ho1 Ho 0.0000 0.0000 0.7797
Ho2 Ho 0.3333 0.6667 0.1048
Ho3 Ho 0.3333 0.6667 0.4451
# Spin magnetization   0.00 μB/f.u.
# Excess energy over the best structure of this formula in the dataset   13.8 meV per atom

---

# Tb3PrHo6 PBE optimized geometry
data_Tb3PrHo6
_cell_length_a 11.031
_cell_length_b 18.927
_cell_length_c 6.189
_cell_angle_alpha 90.00
_cell_angle_beta 90.00
_cell_angle_gamma 90.00
_symmetry_space_group_name_H-M 'C m c 21'
_symmetry_Int_Tables_number 36
_symmetry_space_group_name_Hall 'C 2c -2'
loop_
_atom_site_label
_atom_site_type_symbol
_atom_site_fract_x
_atom_site_fract_y
_atom_site_fract_z
Tb1 Tb 0.000 0.109 0.000
Tb2 Tb 0.174 0.391 0.389
Pr1 Pr 0.000 0.293 0.083
Ho1 Ho 0.000 0.215 0.569
Ho2 Ho 0.000 0.454 0.844
Ho3 Ho 0.165 0.047 0.460
Ho4 Ho 0.248 0.289 0.796
# Spin magnetization   0.00 μB/f.u.
# Excess energy over the best structure of this formula in the dataset   0.0 meV per atom

---

# Tb8PrHo2 PBE optimized geometry
data_Tb8PrHo2
_cell_length_a 5.538
_cell_length_b 8.161
_cell_length_c 15.929
_cell_angle_alpha 90.00
_cell_angle_beta 90.00
_cell_angle_gamma 90.00
_symmetry_space_group_name_H-M 'I m m m'
_symmetry_Int_Tables_number 71
_symmetry_space_group_name_Hall '-I 2 2'
loop_
_atom_site_label
_atom_site_type_symbol
_atom_site_fract_x
_atom_site_fract_y
_atom_site_fract_z
Tb1 Tb 0.000 0.000 0.164
Tb2 Tb 0.000 0.206 0.361
Tb3 Tb 0.000 0.296 0.000
Pr1 Pr 0.000 0.500 0.500
Ho1 Ho 0.000 0.500 0.199
# Spin magnetization   0.00 μB/f.u.
# Excess energy over the best structure of this formula in the dataset   0.0 meV per atom

---

# Tb8Pr6Ho PBE optimized geometry
data_Tb8Pr6Ho
_cell_length_a 9.1842
_cell_length_b 9.1842
_cell_length_c 21.0055
_cell_angle_alpha 90.00
_cell_angle_beta 90.00
_cell_angle_gamma 120.00
_symmetry_space_group_name_H-M 'R -3'
_symmetry_Int_Tables_number 148
_symmetry_space_group_name_Hall '-R 3'
loop_
_atom_site_label
_atom_site_type_symbol
_atom_site_fract_x
_atom_site_fract_y
_atom_site_fract_z
Tb1 Tb 0.0000 0.0000 0.0769
Tb2 Tb 0.0809 0.5237 0.3067
Pr1 Pr 0.0590 0.8106 0.2102
Ho1 Ho 0.0000 0.0000 0.5000
# Spin magnetization   0.00 μB/f.u.
# Excess energy over the best structure of this formula in the dataset   0.0 meV per atom

---

# Tb8Pr2Ho PBE optimized geometry
data_Tb8Pr2Ho
_cell_length_a 18.271
_cell_length_b 5.069
_cell_length_c 8.022
_cell_angle_alpha 90.00
_cell_angle_beta 105.27
_cell_angle_gamma 90.00
_symmetry_space_group_name_H-M 'C 1 2/m 1'
_symmetry_Int_Tables_number 12
_symmetry_space_group_name_Hall '-C 2y'
loop_
_atom_site_label
_atom_site_type_symbol
_atom_site_fract_x
_atom_site_fract_y
_atom_site_fract_z
Tb1 Tb 0.044 0.000 0.228
Tb2 Tb 0.089 0.500 0.953
Tb3 Tb 0.135 0.000 0.677
Tb4 Tb 0.181 0.500 0.408
Pr1 Pr 0.227 0.000 0.138
Ho1 Ho 0.000 0.500 0.500
# Spin magnetization   0.00 μB/f.u.
# Excess energy over the best structure of this formula in the dataset   0.0 meV per atom

---

# Tb5PrHo2 PBE optimized geometry
data_Tb5PrHo2
_cell_length_a 6.649
_cell_length_b 8.895
_cell_length_c 9.511
_cell_angle_alpha 88.40
_cell_angle_beta 85.37
_cell_angle_gamma 68.15
_symmetry_space_group_name_H-M 'P -1'
_symmetry_Int_Tables_number 2
_symmetry_space_group_name_Hall '-P 1'
loop_
_atom_site_label
_atom_site_type_symbol
_atom_site_fract_x
_atom_site_fract_y
_atom_site_fract_z
Tb1 Tb 0.044 0.248 0.111
Tb2 Tb 0.199 0.497 0.409
Tb3 Tb 0.293 0.751 0.610
Tb4 Tb 0.302 0.498 0.089
Tb5 Tb 0.343 0.318 0.750
Pr1 Pr 0.062 0.874 0.249
Ho1 Ho 0.279 0.104 0.420
Ho2 Ho 0.384 0.895 0.920
# Spin magnetization   0.00 μB/f.u.
# Excess energy over the best structure of this formula in the dataset   138.4 meV per atom

---

# Tb2Pr3Ho5 PBE optimized geometry
data_Tb2Pr3Ho5
_cell_length_a 10.699
_cell_length_b 16.179
_cell_length_c 9.393
_cell_angle_alpha 90.00
_cell_angle_beta 124.66
_cell_angle_gamma 90.00
_symmetry_space_group_name_H-M 'C 1 2/c 1'
_symmetry_Int_Tables_number 15
_symmetry_space_group_name_Hall '-C 2yc'
loop_
_atom_site_label
_atom_site_type_symbol
_atom_site_fract_x
_atom_site_fract_y
_atom_site_fract_z
Tb1 Tb 0.151 0.117 0.046
Pr1 Pr 0.000 0.265 0.750
Pr2 Pr 0.145 0.376 0.546
Ho1 Ho 0.000 0.029 0.250
Ho2 Ho 0.000 0.227 0.250
Ho3 Ho 0.000 0.474 0.750
Ho4 Ho 0.240 0.112 0.731
# Spin magnetization   0.00 μB/f.u.
# Excess energy over the best structure of this formula in the dataset   0.0 meV per atom

---

# Tb2PrHo3 PBE optimized geometry
data_Tb2PrHo3
_cell_length_a 8.973
_cell_length_b 9.787
_cell_length_c 8.966
_cell_angle_alpha 90.00
_cell_angle_beta 102.38
_cell_angle_gamma 90.00
_symmetry_space_group_name_H-M 'C 1 2/c 1'
_symmetry_Int_Tables_number 15
_symmetry_space_group_name_Hall '-C 2yc'
loop_
_atom_site_label
_atom_site_type_symbol
_atom_site_fract_x
_atom_site_fract_y
_atom_site_fract_z
Tb1 Tb 0.124 0.247 0.125
Pr1 Pr 0.000 0.407 0.750
Ho1 Ho 0.000 0.074 0.750
Ho2 Ho 0.245 0.416 0.495
# Spin magnetization   0.00 μB/f.u.
# Excess energy over the best structure of this formula in the dataset   54.2 meV per atom

---

# Tb3Pr5Ho4 PBE optimized geometry
data_Tb3Pr5Ho4
_cell_length_a 9.816
_cell_length_b 5.864
_cell_length_c 15.074
_cell_angle_alpha 90.00
_cell_angle_beta 108.78
_cell_angle_gamma 90.00
_symmetry_space_group_name_H-M 'C 1 2/m 1'
_symmetry_Int_Tables_number 12
_symmetry_space_group_name_Hall '-C 2y'
loop_
_atom_site_label
_atom_site_type_symbol
_atom_site_fract_x
_atom_site_fract_y
_atom_site_fract_z
Tb1 Tb 0.000 0.000 0.000
Tb2 Tb 0.206 0.500 0.249
Pr1 Pr 0.000 0.500 0.000
Pr2 Pr 0.047 0.000 0.247
Pr3 Pr 0.169 0.000 0.499
Ho1 Ho 0.061 0.500 0.624
Ho2 Ho 0.176 0.500 0.855
# Spin magnetization   0.00 μB/f.u.

---

# TbPr2Ho9 PBE optimized geometry
data_TbPr2Ho9
_cell_length_a 11.2660
_cell_length_b 11.2660
_cell_length_c 3.4934
_cell_angle_alpha 90.00
_cell_angle_beta 90.00
_cell_angle_gamma 120.00
_symmetry_space_group_name_H-M 'P 6/m m m'
_symmetry_Int_Tables_number 191
_symmetry_space_group_name_Hall '-P 6 2'
loop_
_atom_site_label
_atom_site_type_symbol
_atom_site_fract_x
_atom_site_fract_y
_atom_site_fract_z
Tb1 Tb 0.0000 0.0000 0.0000
Pr1 Pr 0.3333 0.6667 0.0000
Ho1 Ho 0.0000 0.5000 0.0000
Ho2 Ho 0.1735 0.3470 0.5000
# Spin magnetization   0.00 μB/f.u.
# Excess energy over the best structure of this formula in the dataset   50.0 meV per atom

---

# Tb3Pr4Ho4 PBE optimized geometry
data_Tb3Pr4Ho4
_cell_length_a 10.742
_cell_length_b 5.717
_cell_length_c 12.082
_cell_angle_alpha 90.00
_cell_angle_beta 90.00
_cell_angle_gamma 90.00
_symmetry_space_group_name_H-M 'A m m 2'
_symmetry_Int_Tables_number 38
_symmetry_space_group_name_Hall 'A 2 -2'
loop_
_atom_site_label
_atom_site_type_symbol
_atom_site_fract_x
_atom_site_fract_y
_atom_site_fract_z
Tb1 Tb 0.000 0.000 0.000
Tb2 Tb 0.287 0.000 0.157
Pr1 Pr 0.000 0.000 0.707
Pr2 Pr 0.208 0.000 0.501
Pr3 Pr 0.500 0.000 0.627
Ho1 Ho 0.000 0.000 0.299
Ho2 Ho 0.304 0.000 0.850
Ho3 Ho 0.500 0.000 0.354
# Spin magnetization   0.00 μB/f.u.
# Excess energy over the best structure of this formula in the dataset   135.5 meV per atom

---

# Tb2PrHo8 PBE optimized geometry
data_Tb2PrHo8
_cell_length_a 19.081
_cell_length_b 6.938
_cell_length_c 5.512
_cell_angle_alpha 90.00
_cell_angle_beta 92.85
_cell_angle_gamma 90.00
_symmetry_space_group_name_H-M 'C 1 2/m 1'
_symmetry_Int_Tables_number 12
_symmetry_space_group_name_Hall '-C 2y'
loop_
_atom_site_label
_atom_site_type_symbol
_atom_site_fract_x
_atom_site_fract_y
_atom_site_fract_z
Tb1 Tb 0.216 0.000 0.250
Pr1 Pr 0.000 0.500 0.000
Ho1 Ho 0.047 0.000 0.238
Ho2 Ho 0.133 0.233 0.732
Ho3 Ho 0.188 0.500 0.234
# Spin magnetization   0.00 μB/f.u.
# Excess energy over the best structure of this formula in the dataset   33.3 meV per atom

---

# Tb7PrHo5 PBE optimized geometry
data_Tb7PrHo5
_cell_length_a 6.676
_cell_length_b 11.136
_cell_length_c 11.586
_cell_angle_alpha 90.00
_cell_angle_beta 90.00
_cell_angle_gamma 90.00
_symmetry_space_group_name_H-M 'I m m 2'
_symmetry_Int_Tables_number 44
_symmetry_space_group_name_Hall 'I 2 -2'
loop_
_atom_site_label
_atom_site_type_symbol
_atom_site_fract_x
_atom_site_fract_y
_atom_site_fract_z
Tb1 Tb 0.000 0.000 0.000
Tb2 Tb 0.000 0.000 0.305
Tb3 Tb 0.000 0.329 0.247
Tb4 Tb 0.000 0.330 0.748
Tb5 Tb 0.000 0.500 0.498
Pr1 Pr 0.000 0.000 0.696
Ho1 Ho 0.000 0.500 0.994
Ho2 Ho 0.235 0.230 0.497
# Spin magnetization   0.00 μB/f.u.

---

# Tb2PrHo6 PBE optimized geometry
data_Tb2PrHo6
_cell_length_a 5.623
_cell_length_b 29.170
_cell_length_c 3.473
_cell_angle_alpha 90.00
_cell_angle_beta 90.00
_cell_angle_gamma 90.00
_symmetry_space_group_name_H-M 'C m m m'
_symmetry_Int_Tables_number 65
_symmetry_space_group_name_Hall '-C 2 2'
loop_
_atom_site_label
_atom_site_type_symbol
_atom_site_fract_x
_atom_site_fract_y
_atom_site_fract_z
Tb1 Tb 0.000 0.167 0.000
Pr1 Pr 0.000 0.500 0.000
Ho1 Ho 0.000 0.057 0.500
Ho2 Ho 0.000 0.277 0.500
Ho3 Ho 0.000 0.387 0.500
# Spin magnetization   0.00 μB/f.u.
# Excess energy over the best structure of this formula in the dataset   0.0 meV per atom

---

# Tb12Pr5Ho2 PBE optimized geometry
data_Tb12Pr5Ho2
_cell_length_a 17.947
_cell_length_b 9.155
_cell_length_c 8.720
_cell_angle_alpha 90.00
_cell_angle_beta 115.94
_cell_angle_gamma 90.00
_symmetry_space_group_name_H-M 'C 1 2/m 1'
_symmetry_Int_Tables_number 12
_symmetry_space_group_name_Hall '-C 2y'
loop_
_atom_site_label
_atom_site_type_symbol
_atom_site_fract_x
_atom_site_fract_y
_atom_site_fract_z
Tb1 Tb 0.046 0.000 0.183
Tb2 Tb 0.061 0.500 0.718
Tb3 Tb 0.126 0.278 0.455
Tb4 Tb 0.145 0.185 0.907
Pr1 Pr 0.000 0.000 0.500
Pr2 Pr 0.211 0.500 0.222
Pr3 Pr 0.237 0.000 0.295
Ho1 Ho 0.000 0.327 0.000
# Spin magnetization   0.00 μB/f.u.

---

no.,ΔE_f (meV/atom)
1,181.2
2,300.0
3,75.1
4,210.1
5,62.1
6,58.4
7,150.0
8,114.1
9,115.6
10,19.0
11,155.3
12,188.8
13,68.0
14,223.9
15,73.8
16,151.7
17,147.9
18,242.8
19,71.8
20,207.7